Here is a geometry-optimized CaZr2Pt2 structure from Alexandria. Energies are from PBE.

Cell lengths 6.1596, 6.1596, 6.1596 Å; angles 132.36, 132.36, 69.67 degrees
Last column: nearest neighbours and their distance in Å.
Positions (direct):
Ca1 0.0000 0.0000 0.0000  10 Zr 3.52-3.84, 8 Pt 3.55
Zr1 0.3485 0.3485 0.0000  4 Pt 2.68
Zr2 0.6515 0.6515 0.0000  4 Pt 2.68
Pt1 0.2500 0.7500 0.5000  4 Zr 2.68
Pt2 0.7500 0.2500 0.5000  4 Zr 2.68

## Properties
E above lowest polymorph   362 meV/atom
Calculated formation energy   -0.476 eV/atom
Total moment   0.95 μB/f.u.
DOS at the Fermi energy   5.0 states/eV/cell
Symmetry   No. 139